Material: ReW4
Method: DFT, GGA-PBEsol
State: relaxed

- Calculated density: 19784 kg/m3
- E_tot: -273.02 eV for the cell shown
- Offset from the most stable computed form: 21.1 meV/atom
- Formation energy: 0.31 eV/f.u.
- D(E_F): 13.7 states/eV per cell
- Crystal system: orthorhombic

CIF file:
```
data_ReW4
_chemical_formula_sum 'Re4 W16'
_symmetry_space_group_name_H-M 'F m m m'
_symmetry_Int_Tables_number 69
_symmetry_space_group_name_Hall '-F 2 2'
_cell_length_a 3.1376
_cell_length_b 4.4426
_cell_length_c 22.1967
_cell_angle_alpha 90.00
_cell_angle_beta 90.00
_cell_angle_gamma 90.00
loop_
_atom_site_label
_atom_site_type_symbol
_atom_site_fract_x
_atom_site_fract_y
_atom_site_fract_z
_atom_site_occupancy
Re1 Re 0.0000 0.0000 0.0000 1
W1 W 0.0000 0.0000 0.1996 1
W2 W 0.0000 0.0000 0.4009 1
```